1.
# PmIn3Te6

A relaxed structure of PmIn3Te6 (PBE, Alexandria).

- Fermi-level density of states (states/eV/cell) = 2.28
- energy (eV per atom) = -3.70
- SG = P2_1/m
- size of the total moment (μB per atom) = 0.000

abc: 4.428 12.912 12.263
angles: 111.44 90.00 90.00
Sites, in units of the cell vectors:
In (0.250, 0.297, 0.527)
In (0.250, 0.829, 0.901)
In (0.750, 0.703, 0.473)
In (0.750, 0.441, 0.835)
In (0.250, 0.559, 0.165)
In (0.750, 0.171, 0.099)
Te (0.750, 0.099, 0.465)
Te (0.250, 0.901, 0.535)
Te (0.750, 0.396, 0.061)
Te (0.250, 0.068, 0.910)
Te (0.250, 0.197, 0.268)
Te (0.750, 0.932, 0.090)
Te (0.250, 0.251, 0.741)
Te (0.250, 0.543, 0.396)
Te (0.250, 0.604, 0.939)
Te (0.750, 0.457, 0.604)
Te (0.750, 0.803, 0.732)
Te (0.750, 0.749, 0.259)
Pm (0.750, 0.053, 0.707)
Pm (0.250, 0.947, 0.293)

2.
# Pm4InTe5

A relaxed structure of Pm4InTe5 (PBE, Alexandria).

- Fermi-level density of states (states/eV/cell) = 5.37
- energy (eV per atom) = -4.99
- SG = R-3m
- size of the total moment (μB per atom) = 0.000

abc: 4.464 4.464 19.310
angles: 83.36 83.36 60.00
Sites, in units of the cell vectors:
Te (0.000, 0.000, 0.000)
Te (0.794, 0.794, 0.617)
Te (0.206, 0.206, 0.383)
Te (0.603, 0.603, 0.191)
Te (0.397, 0.397, 0.809)
In (0.500, 0.500, 0.500)
Pm (0.699, 0.699, 0.903)
Pm (0.096, 0.096, 0.713)
Pm (0.301, 0.301, 0.097)
Pm (0.904, 0.904, 0.287)

3.
# PmInTe2

A relaxed structure of PmInTe2 (PBE, Alexandria).

- Fermi-level density of states (states/eV/cell) = 0.09
- energy (eV per atom) = -4.41
- SG = R3m
- size of the total moment (μB per atom) = 0.000

abc: 4.481 4.481 8.706
angles: 75.09 75.09 60.00
Sites, in units of the cell vectors:
Te (0.074, 0.074, 0.777)
Te (0.260, 0.260, 0.219)
Pm (0.667, 0.667, 0.998)
In (0.498, 0.498, 0.505)

4.
# PmInTe2

A relaxed structure of PmInTe2 (PBE, Alexandria).

- Fermi-level density of states (states/eV/cell) = 0.16
- energy (eV per atom) = -4.44
- SG = R-3m
- size of the total moment (μB per atom) = 0.000

abc: 4.497 4.497 8.519
angles: 90.00 105.30 120.01
Sites, in units of the cell vectors:
Te (0.484, 0.742, 0.225)
Te (0.516, 0.258, 0.775)
In (0.000, 0.500, 0.500)
Pm (0.000, 0.000, 0.000)

5.
# Pm6InTe8

A relaxed structure of Pm6InTe8 (PBE, Alexandria).

- Fermi-level density of states (states/eV/cell) = 12.41
- energy (eV per atom) = -4.99
- SG = P-3
- size of the total moment (μB per atom) = 0.018

abc: 4.510 12.079 12.079
angles: 120.00 90.00 90.00
Sites, in units of the cell vectors:
Te (0.252, 0.355, 0.047)
Te (0.252, 0.953, 0.307)
Te (0.252, 0.693, 0.645)
Te (0.748, 0.047, 0.693)
Te (0.250, 0.333, 0.667)
Te (0.748, 0.307, 0.355)
Te (0.748, 0.645, 0.953)
Te (0.750, 0.667, 0.333)
In (0.500, 0.000, 0.000)
Pm (0.750, 0.347, 0.864)
Pm (0.750, 0.136, 0.483)
Pm (0.250, 0.864, 0.517)
Pm (0.750, 0.517, 0.653)
Pm (0.250, 0.483, 0.347)
Pm (0.250, 0.653, 0.136)

6.
# Pm6InTe12

A relaxed structure of Pm6InTe12 (PBE, Alexandria).

- Fermi-level density of states (states/eV/cell) = 8.77
- energy (eV per atom) = -4.72
- SG = R-3
- size of the total moment (μB per atom) = 0.000

abc: 8.967 8.967 8.967
angles: 99.11 99.11 99.11
Sites, in units of the cell vectors:
Te (0.577, 0.429, 0.820)
Te (0.022, 0.661, 0.961)
Te (0.661, 0.961, 0.022)
Te (0.180, 0.423, 0.571)
Te (0.978, 0.339, 0.039)
Te (0.820, 0.577, 0.429)
Te (0.961, 0.022, 0.661)
Te (0.339, 0.039, 0.978)
Te (0.423, 0.571, 0.180)
Te (0.429, 0.820, 0.577)
Te (0.039, 0.978, 0.339)
Te (0.571, 0.180, 0.423)
Pm (0.326, 0.138, 0.642)
Pm (0.642, 0.326, 0.138)
Pm (0.358, 0.674, 0.862)
Pm (0.138, 0.642, 0.326)
Pm (0.862, 0.358, 0.674)
Pm (0.674, 0.862, 0.358)
In (0.000, 0.000, 0.000)

7.
# Pm10In3Te3

A relaxed structure of Pm10In3Te3 (PBE, Alexandria).

- Fermi-level density of states (states/eV/cell) = 17.29
- energy (eV per atom) = -4.80
- SG = P-62m
- size of the total moment (μB per atom) = 0.006

abc: 6.577 9.281 9.281
angles: 120.00 90.00 90.00
Sites, in units of the cell vectors:
Te (0.000, 0.614, 0.000)
Te (0.000, 0.386, 0.386)
Te (0.000, 0.000, 0.614)
Pm (0.000, 0.756, 0.756)
Pm (0.500, 0.759, 0.000)
Pm (0.000, 0.244, 0.000)
Pm (0.751, 0.667, 0.333)
Pm (0.249, 0.667, 0.333)
Pm (0.500, 0.000, 0.759)
Pm (0.000, 0.000, 0.244)
Pm (0.751, 0.333, 0.667)
Pm (0.249, 0.333, 0.667)
Pm (0.500, 0.241, 0.241)
In (0.500, 0.608, 0.608)
In (0.500, 0.000, 0.392)
In (0.500, 0.392, 0.000)

8.
# Pm3InTe4

A relaxed structure of Pm3InTe4 (PBE, Alexandria).

- Fermi-level density of states (states/eV/cell) = 3.59
- energy (eV per atom) = -4.90
- SG = R-3m
- size of the total moment (μB per atom) = 0.000

abc: 4.466 4.466 15.682
angles: 81.81 81.81 60.00
Sites, in units of the cell vectors:
Te (0.873, 0.873, 0.381)
Te (0.619, 0.619, 0.144)
Te (0.381, 0.381, 0.856)
Te (0.127, 0.127, 0.619)
In (0.000, 0.000, 0.000)
Pm (0.754, 0.754, 0.737)
Pm (0.246, 0.246, 0.263)
Pm (0.500, 0.500, 0.500)

The highest size of the total moment belongs to which entry?
Pm6InTe8